[1]
4
Lattice="-1.7717 1.7717 4.0143 1.7717 -1.7717 4.0143 1.7717 1.7717 -4.0143" Properties=species:S:1:pos:R:3 comment="AlZn2Fe, relaxed, DFT GGA-PBEsol" magmom_total_mub_per_fu=1.04 e_form_ev_per_atom=-0.115 sg=I4/mmm crystal_system=tetragonal pbc="T T T"
Al 0.0000 0.0000 0.0000
Zn 1.7717 0.0000 2.0071
Zn 0.0000 1.7717 2.0071
Fe 0.0000 0.0000 4.0143

***

[2]
4
Lattice="2.9692 -4.9411 0.0000 2.9692 4.9411 0.0000 0.0000 0.0000 3.7089" Properties=species:S:1:pos:R:3 comment="LaHg2Br, relaxed, DFT GGA-PBEsol" raw_formation_energy_kj_per_mol_atoms=-63.07 magmom_total_mub_per_fu=0.00 polymorph_energy_ev_per_atom=0.1057 sg=Cmmm crystal_system=orthorhombic pbc="T T T"
La 0.0000 0.0000 0.0000
Hg 1.4846 2.4706 1.8544
Hg 1.4846 -2.4706 1.8544
Br 2.9692 0.0000 0.0000

***

[3]
5
Lattice="4.7297 0.0000 0.0000 0.0000 4.7297 0.0000 0.0000 0.0000 4.7297" Properties=species:S:1:pos:R:3 comment="MoAs3Os, relaxed, DFT GGA-PBEsol" magmom_total_mub_per_fu=2.88 e_form_ev_per_atom=1.301 sg=Pm-3m crystal_system=cubic pbc="T T T"
Mo 0.0000 0.0000 0.0000
As 0.0000 2.3649 2.3649
As 2.3649 0.0000 2.3649
As 2.3649 2.3649 0.0000
Os 2.3649 2.3649 2.3649

***

[4]
6
Lattice="6.4368 -1.7675 0.0000 6.4368 1.7675 0.0000 -2.3333 0.0000 7.4817" Properties=species:S:1:pos:R:3 comment="Tl5Sb, relaxed, DFT GGA-PBEsol" raw_formation_energy_kj_per_mol_atoms=1.11 magmom_total_mub_per_fu=0.00 polymorph_energy_ev_per_atom=0.0219 sg=Cm crystal_system=monoclinic pbc="T T T"
Tl 0.0000 0.0000 0.0000
Tl -1.0918 0.0000 4.1782
Tl 4.0562 0.0000 1.6702
Tl 7.7854 0.0000 2.6475
Tl 6.9221 0.0000 6.5902
Sb 2.7366 0.0000 5.0476

***

[5]
5
Lattice="4.6345 0.0000 0.0000 0.0000 4.6345 0.0000 0.0000 0.0000 4.9388" Properties=species:S:1:pos:R:3 comment="CdReTcOs2, relaxed, DFT GGA-PBEsol" magmom_total_mub_per_fu=3.60 e_form_ev_per_atom=2.458 sg=P4/mmm crystal_system=tetragonal pbc="T T T"
Cd 0.0000 0.0000 0.0000
Re 0.0000 0.0000 2.4694
Tc 2.3172 2.3172 0.0000
Os 0.0000 2.3172 2.4694
Os 2.3172 0.0000 2.4694

***

[6]
5
Lattice="4.8046 0.0000 0.0000 0.0000 4.8046 0.0000 0.0000 0.0000 4.3086" Properties=species:S:1:pos:R:3 comment="CrSb2RuPt, relaxed, DFT GGA-PBEsol" raw_formation_energy_kj_per_mol_atoms=91.77 magmom_total_mub_per_fu=0.00 sg=P4/mmm crystal_system=tetragonal pbc="T T T"
Cr 0.0000 0.0000 0.0000
Sb 0.0000 2.4023 0.0000
Sb 2.4023 0.0000 0.0000
Ru 0.0000 0.0000 2.1543
Pt 2.4023 2.4023 2.1543

***

[7]
4
Lattice="1.5900 0.9180 8.7669 -1.5900 0.9180 8.7669 0.0000 -1.8359 8.7669" Properties=species:S:1:pos:R:3 comment="Hg2MoCl, relaxed, DFT GGA-PBEsol" raw_formation_energy_kj_per_mol_atoms=32.16 magmom_total_mub_per_fu=0.00 polymorph_energy_ev_per_atom=0.0000 sg=R-3m crystal_system=trigonal pbc="T T T"
Hg 0.0000 0.0000 6.5389
Hg 0.0000 0.0000 19.7617
Mo 0.0000 0.0000 13.1503
Cl 0.0000 0.0000 0.0000

***

[8]
5
Lattice="5.1898 0.0000 0.0000 0.0000 5.1898 0.0000 0.0000 0.0000 5.1898" Properties=species:S:1:pos:R:3 comment="BaSc3Ge, relaxed, DFT GGA-PBEsol" magmom_total_mub_per_fu=0.00 e_form_ev_per_atom=1.245 sg=Pm-3m crystal_system=cubic pbc="T T T"
Ba 0.0000 0.0000 0.0000
Sc 0.0000 0.0000 2.5949
Sc 0.0000 2.5949 0.0000
Sc 2.5949 0.0000 0.0000
Ge 2.5949 2.5949 2.5949